P.
VASP calculation (PBE-GGA) on a geometry-optimized SrCa2Y structure.

Geometry as CIF:
```
data_SrCa2Y
_symmetry_space_group_name_H-M 'P 4/m m m'
_symmetry_Int_Tables_number 123
_symmetry_space_group_name_Hall '-P 4 2'
_cell_length_a 6.192
_cell_length_b 6.192
_cell_length_c 4.227
_cell_angle_alpha 90.00
_cell_angle_beta 90.00
_cell_angle_gamma 90.00
loop_
_atom_site_label
_atom_site_fract_x
_atom_site_fract_y
_atom_site_fract_z
_atom_site_occupancy
Sr1 0.000 0.000 0.000 1
Ca1 0.000 0.500 0.500 1
Y1 0.500 0.500 0.000 1
```

Q.
VASP calculation (PBE-GGA) on a geometry-optimized SrCa2Y structure.

Geometry as CIF:
```
data_SrCa2Y
_symmetry_space_group_name_H-M 'P m m 2'
_symmetry_Int_Tables_number 25
_cell_length_a 3.829
_cell_length_b 5.571
_cell_length_c 7.813
_cell_angle_alpha 90.00
_cell_angle_beta 90.00
_cell_angle_gamma 90.00
loop_
_symmetry_equiv_pos_as_xyz
'x,y,z'
'-x,-y,z'
'-x,y,z'
'x,-y,z'
loop_
_atom_site_label
_atom_site_fract_x
_atom_site_fract_y
_atom_site_fract_z
_atom_site_occupancy
Sr1 0.000 0.000 0.000 1
Ca1 0.000 0.000 0.481 1
Ca2 0.500 0.500 0.734 1
Y1 0.500 0.500 0.252 1
```

The data favor Q; the next most stable structure lies 6 meV per atom above it.

P.
VASP calculation (PBE-GGA) on a geometry-optimized SrCa2Y structure.

Geometry as CIF:
```
data_SrCa2Y
_symmetry_space_group_name_H-M 'C 1 2/m 1'
_symmetry_Int_Tables_number 12
_cell_length_a 7.500
_cell_length_b 12.271
_cell_length_c 3.704
_cell_angle_alpha 90.00
_cell_angle_beta 108.30
_cell_angle_gamma 90.00
loop_
_symmetry_equiv_pos_as_xyz
'x,y,z'
'-x,-y,-z'
'-x,y,-z'
'x,-y,z'
'x+1/2,y+1/2,z'
'-x+1/2,-y+1/2,-z'
'-x+1/2,y+1/2,-z'
'x+1/2,-y+1/2,z'
loop_
_atom_site_label
_atom_site_fract_x
_atom_site_fract_y
_atom_site_fract_z
_atom_site_occupancy
Sr1 0.000 0.000 0.000 1
Ca1 0.250 0.250 0.500 1
Y1 0.000 0.500 0.000 1
```

Q.
VASP calculation (PBE-GGA) on a geometry-optimized SrCa2Y structure.

Geometry as CIF:
```
data_SrCa2Y
_symmetry_space_group_name_H-M 'R -3 m'
_symmetry_Int_Tables_number 166
_symmetry_space_group_name_Hall '-R 3 2"'
_cell_length_a 3.8685
_cell_length_b 3.8685
_cell_length_c 38.4795
_cell_angle_alpha 90.00
_cell_angle_beta 90.00
_cell_angle_gamma 120.00
loop_
_atom_site_label
_atom_site_fract_x
_atom_site_fract_y
_atom_site_fract_z
_atom_site_occupancy
Sr1 0.0000 0.0000 0.0000 1
Ca1 0.0000 0.0000 0.2444 1
Y1 0.0000 0.0000 0.5000 1
```

R.
VASP calculation (PBE-GGA) on a geometry-optimized SrCa2Y structure.

Geometry as CIF:
```
data_SrCa2Y
_symmetry_space_group_name_H-M 'P 1 m 1'
_symmetry_Int_Tables_number 6
_cell_length_a 3.706
_cell_length_b 6.141
_cell_length_c 7.252
_cell_angle_alpha 90.00
_cell_angle_beta 100.41
_cell_angle_gamma 90.00
loop_
_symmetry_equiv_pos_as_xyz
'x,y,z'
'x,-y,z'
loop_
_atom_site_label
_atom_site_fract_x
_atom_site_fract_y
_atom_site_fract_z
_atom_site_occupancy
Sr1 0.000 0.000 0.000 1
Ca1 0.271 0.500 0.738 1
Ca2 0.503 0.000 0.485 1
Y1 0.760 0.500 0.252 1
```

S.
VASP calculation (PBE-GGA) on a geometry-optimized SrCa2Y structure.

Geometry as CIF:
```
data_SrCa2Y
_symmetry_space_group_name_H-M 'P 4/m m m'
_symmetry_Int_Tables_number 123
_symmetry_space_group_name_Hall '-P 4 2'
_cell_length_a 3.915
_cell_length_b 3.915
_cell_length_c 10.896
_cell_angle_alpha 90.00
_cell_angle_beta 90.00
_cell_angle_gamma 90.00
loop_
_atom_site_label
_atom_site_fract_x
_atom_site_fract_y
_atom_site_fract_z
_atom_site_occupancy
Sr1 0.000 0.000 0.000 1
Ca1 0.500 0.500 0.276 1
Y1 0.000 0.000 0.500 1
```

The data favor S; the next most stable structure lies 12 meV per atom above it.

P.
VASP calculation (PBE-GGA) on a geometry-optimized SrCaZn3 structure.

Geometry as CIF:
```
data_SrCaZn3
_symmetry_space_group_name_H-M 'P m -3 m'
_symmetry_Int_Tables_number 221
_symmetry_space_group_name_Hall '-P 4 2 3'
_cell_length_a 5.656
_cell_length_b 5.656
_cell_length_c 5.656
_cell_angle_alpha 90.00
_cell_angle_beta 90.00
_cell_angle_gamma 90.00
loop_
_atom_site_label
_atom_site_fract_x
_atom_site_fract_y
_atom_site_fract_z
_atom_site_occupancy
Sr1 0.000 0.000 0.000 1
Ca1 0.500 0.500 0.500 1
Zn1 0.000 0.000 0.500 1
```

Q.
VASP calculation (PBE-GGA) on a geometry-optimized SrCaZn3 structure.

Geometry as CIF:
```
data_SrCaZn3
_symmetry_space_group_name_H-M 'C m c m'
_symmetry_Int_Tables_number 63
_symmetry_space_group_name_Hall '-C 2c 2'
_cell_length_a 4.140
_cell_length_b 27.423
_cell_length_c 4.563
_cell_angle_alpha 90.00
_cell_angle_beta 90.00
_cell_angle_gamma 90.00
loop_
_atom_site_label
_atom_site_fract_x
_atom_site_fract_y
_atom_site_fract_z
_atom_site_occupancy
Sr1 0.000 0.073 0.250 1
Ca1 0.000 0.207 0.750 1
Zn1 0.000 0.328 0.750 1
Zn2 0.000 0.379 0.250 1
Zn3 0.000 0.476 0.250 1
```

R.
VASP calculation (PBE-GGA) on a geometry-optimized SrCaZn3 structure.

Geometry as CIF:
```
data_SrCaZn3
_symmetry_space_group_name_H-M 'P m -3 m'
_symmetry_Int_Tables_number 221
_symmetry_space_group_name_Hall '-P 4 2 3'
_cell_length_a 5.498
_cell_length_b 5.498
_cell_length_c 5.498
_cell_angle_alpha 90.00
_cell_angle_beta 90.00
_cell_angle_gamma 90.00
loop_
_atom_site_label
_atom_site_fract_x
_atom_site_fract_y
_atom_site_fract_z
_atom_site_occupancy
Sr1 0.000 0.000 0.000 1
Ca1 0.500 0.500 0.500 1
Zn1 0.000 0.500 0.500 1
```

The data favor Q; the next most stable structure lies 563 meV per atom above it.

P.
VASP calculation (PBE-GGA) on a geometry-optimized Sr2CaZn2 structure.

Geometry as CIF:
```
data_Sr2CaZn2
_symmetry_space_group_name_H-M 'I 4/m m m'
_symmetry_Int_Tables_number 139
_symmetry_space_group_name_Hall '-I 4 2'
_cell_length_a 4.006
_cell_length_b 4.006
_cell_length_c 22.657
_cell_angle_alpha 90.00
_cell_angle_beta 90.00
_cell_angle_gamma 90.00
loop_
_atom_site_label
_atom_site_fract_x
_atom_site_fract_y
_atom_site_fract_z
_atom_site_occupancy
Sr1 0.000 0.000 0.134 1
Ca1 0.000 0.000 0.500 1
Zn1 0.000 0.500 0.250 1
```

Q.
VASP calculation (PBE-GGA) on a geometry-optimized Sr2CaZn2 structure.

Geometry as CIF:
```
data_Sr2CaZn2
_symmetry_space_group_name_H-M 'P 4/m b m'
_symmetry_Int_Tables_number 127
_symmetry_space_group_name_Hall '-P 4 2ab'
_cell_length_a 9.305
_cell_length_b 9.305
_cell_length_c 3.686
_cell_angle_alpha 90.00
_cell_angle_beta 90.00
_cell_angle_gamma 90.00
loop_
_atom_site_label
_atom_site_fract_x
_atom_site_fract_y
_atom_site_fract_z
_atom_site_occupancy
Sr1 0.136 0.364 0.000 1
Ca1 0.000 0.000 0.000 1
Zn1 0.161 0.661 0.500 1
```

The data favor Q; the next most stable structure lies 49 meV per atom above it.